Record 1
Material: Gd3ErPb2N2
Method: DFT, GGA-PBE
State: optimized geometry

Structure (POSCAR):
```
Gd3ErPb2N2
1.0
3.565 0.000 0.000
-1.783 3.088 0.000
0.000 0.000 15.741
Gd Er Pb N
3 1 2 2
Direct
0.000 0.000 0.000
0.000 0.000 0.334
0.667 0.333 0.831
0.667 0.333 0.499
0.000 0.000 0.663
0.667 0.333 0.167
0.333 0.667 0.421
0.333 0.667 0.916
```

Electronic total energy: -6.41 eV per atom

***

Record 2
Material: BaAcHg4
Method: DFT, GGA-PBE
State: optimized geometry

Structure (POSCAR):
```
BaAcHg4
1.0
5.176 0.000 0.000
0.000 8.933 0.000
-0.099 0.000 8.040
Ba Ac Hg
2 2 8
Direct
0.000 0.000 0.000
0.500 0.500 0.000
0.000 0.000 0.500
0.500 0.500 0.500
0.001 0.333 0.722
0.001 0.667 0.722
0.499 0.167 0.278
0.499 0.833 0.278
0.501 0.167 0.722
0.501 0.833 0.722
0.999 0.333 0.278
0.999 0.667 0.278
```

Electronic total energy: -1.69 eV per atom

***

Record 3
Material: YErLu
Method: DFT, GGA-PBE
State: optimized geometry

Structure (POSCAR):
```
YErLu
1.0
7.606 0.000 0.000
0.000 7.606 0.000
0.000 0.000 7.606
Y Er Lu
4 4 4
Direct
0.000 0.000 0.000
0.000 0.500 0.500
0.500 0.000 0.500
0.500 0.500 0.000
0.000 0.000 0.500
0.000 0.500 0.000
0.500 0.000 0.000
0.500 0.500 0.500
0.250 0.250 0.750
0.250 0.750 0.250
0.750 0.250 0.250
0.750 0.750 0.750
```

Energy of formation: 0.72 eV/atom
Relative energy among the computed polymorphs: 0.000 eV per atom
Electronic total energy: -4.46 eV per atom

***

| no. | size of the total moment (μB/f.u.) |
| --- | --- |
| 1 | 0.0 |
| 2 | 0.0 |
| 3 | 0.0 |